Compound: LiCaSi3
Source: Alexandria via LeMat-Bulk
Functional: PBE
Structure: optimized geometry

a = 5.352 Å, b = 5.352 Å, c = 5.352 Å
α = 90.00°, β = 90.00°, γ = 90.00°
Atoms (fractional coordinates):
1 Si 0.000 0.500 0.000
2 Ca 0.000 0.000 0.000
3 Si 0.500 0.000 0.000
4 Li 0.500 0.500 0.500
5 Si 0.000 0.000 0.500

Calculated values
Its space group is No. 221. As for the density of states at the Fermi level: 4.8 states/eV/cell. For the excess energy over the best structure of this formula in the dataset, the calculation gives 0.899 eV/atom. The calculated total energy is -2.828 eV/atom.